(1)
Compound: Sr2LiMgH
Source: Alexandria
Functional: PBE
Structure: optimized geometry

Unit cell a=5.505 b=5.505 c=4.572 alpha=90.00 beta=90.00 gamma=90.00
Atoms (fractional coordinates):
Sr  0.000  0.500  0.000
Sr  0.500  0.000  0.000
Li  0.000  0.000  0.500
Mg  0.500  0.500  0.500
H  0.500  0.500  0.000

- space group = P4/mmm (123)
- VASP energy (eV/atom) = -2.146
- total magnetization (Bohr magnetons per cell) = 0.00

(2)
Compound: DyYTlCd
Source: Alexandria
Functional: PBE
Structure: optimized geometry

Unit cell a=5.331 b=5.331 c=5.331 alpha=60.00 beta=60.00 gamma=60.00
Atoms (fractional coordinates):
Dy  0.000  0.000  0.000
Y  0.500  0.500  0.500
Tl  0.250  0.250  0.250
Cd  0.750  0.750  0.750

- space group = F-43m (216)
- formation enthalpy at 0 K (eV per atom) = -0.357
- total magnetization (Bohr magnetons per cell) = 0.21

(3)
Compound: B2C
Source: Alexandria
Functional: PBE
Structure: optimized geometry

Unit cell a=4.635 b=2.757 c=6.775 alpha=90.00 beta=91.32 gamma=90.00
Atoms (fractional coordinates):
B  0.000  0.000  0.000
B  0.001  0.000  0.548
B  0.278  0.000  0.361
B  0.387  0.000  0.625
B  0.514  0.500  0.953
B  0.654  0.000  0.274
B  0.823  0.500  0.633
B  0.899  0.500  0.383
C  0.174  0.500  0.030
C  0.189  0.500  0.250
C  0.508  0.500  0.703
C  0.672  0.000  0.044

- space group = Pm (6)
- formation enthalpy at 0 K (eV per atom) = 0.389
- total magnetization (Bohr magnetons per cell) = 0.00

(4)
Compound: BaCd2SbRh2
Source: Alexandria
Functional: PBE
Structure: optimized geometry

Unit cell a=4.971 b=4.971 c=6.504 alpha=90.00 beta=90.00 gamma=90.00
Atoms (fractional coordinates):
Ba  0.000  0.000  0.000
Cd  0.500  0.500  0.259
Cd  0.500  0.500  0.741
Sb  0.000  0.000  0.500
Rh  0.000  0.500  0.500
Rh  0.500  0.000  0.500

- formation energy (no corrections) (eV per atom) = -0.205
- space group = P4/mmm (123)
- total magnetization (Bohr magnetons per cell) = 0.00

(5)
Compound: ZnTcRu
Source: Alexandria
Functional: PBE
Structure: optimized geometry

Unit cell a=4.132 b=4.132 c=4.132 alpha=60.00 beta=60.00 gamma=60.00
Atoms (fractional coordinates):
Zn  0.000  0.000  0.000
Tc  0.500  0.500  0.500
Ru  0.250  0.250  0.250

- space group = F-43m (216)
- formation enthalpy at 0 K (eV per atom) = 0.375
- total magnetization (Bohr magnetons per cell) = 0.00

(6)
Compound: AcAlSn4
Source: Alexandria
Functional: PBE
Structure: optimized geometry

Unit cell a=6.259 b=6.259 c=6.259 alpha=60.00 beta=60.00 gamma=60.00
Atoms (fractional coordinates):
Ac  0.000  0.000  0.000
Al  0.750  0.750  0.750
Sn  0.376  0.376  0.376
Sn  0.376  0.376  0.873
Sn  0.376  0.873  0.376
Sn  0.873  0.376  0.376

- space group = F-43m (216)
- formation enthalpy at 0 K (eV per atom) = -0.138
- total magnetization (Bohr magnetons per cell) = 0.00

(7)
Compound: NpPa2Se5
Source: Alexandria
Functional: PBE
Structure: optimized geometry

Unit cell a=7.862 b=12.558 c=4.046 alpha=90.00 beta=90.00 gamma=90.00
Atoms (fractional coordinates):
Np  0.000  0.000  0.000
Np  0.500  0.500  0.000
Pa  0.028  0.322  0.500
Pa  0.472  0.822  0.500
Pa  0.528  0.178  0.500
Pa  0.972  0.678  0.500
Se  0.000  0.500  0.000
Se  0.174  0.108  0.500
Se  0.181  0.800  0.000
Se  0.319  0.300  0.000
Se  0.326  0.608  0.500
Se  0.500  0.000  0.000
Se  0.674  0.392  0.500
Se  0.681  0.700  0.000
Se  0.819  0.200  0.000
Se  0.826  0.892  0.500

- formation energy (no corrections) (eV per atom) = -1.231
- space group = Pbam (55)
- total magnetization (Bohr magnetons per cell) = 13.01

(8)
Compound: NpAsI
Source: Alexandria
Functional: PBE
Structure: optimized geometry

Unit cell a=4.761 b=4.761 c=4.710 alpha=90.00 beta=90.00 gamma=120.00
Atoms (fractional coordinates):
Np  0.000  0.000  0.000
As  0.667  0.333  0.000
I  0.333  0.667  0.500

- formation energy (no corrections) (eV per atom) = -0.088
- space group = P-6m2 (187)
- total magnetization (Bohr magnetons per cell) = 3.14

(9)
Compound: La6SnO12
Source: Alexandria
Functional: PBE
Structure: optimized geometry

Unit cell a=6.893 b=6.893 c=6.893 alpha=98.96 beta=98.96 gamma=98.96
Atoms (fractional coordinates):
La  0.105  0.639  0.795
La  0.205  0.895  0.361
La  0.361  0.205  0.895
La  0.639  0.795  0.105
La  0.795  0.105  0.639
La  0.895  0.361  0.205
Sn  0.500  0.500  0.500
O  0.058  0.323  0.907
O  0.093  0.942  0.677
O  0.200  0.546  0.434
O  0.323  0.907  0.058
O  0.434  0.200  0.546
O  0.454  0.566  0.800
O  0.546  0.434  0.200
O  0.566  0.800  0.454
O  0.677  0.093  0.942
O  0.800  0.454  0.566
O  0.907  0.058  0.323
O  0.942  0.677  0.093

- formation energy (no corrections) (eV per atom) = -2.954
- space group = R-3 (148)
- total magnetization (Bohr magnetons per cell) = 2.19

(10)
Compound: CeEr4
Source: Alexandria
Functional: PBE
Structure: optimized geometry

Unit cell a=6.797 b=6.797 c=6.797 alpha=94.40 beta=94.40 gamma=147.85
Atoms (fractional coordinates):
Ce  0.000  0.000  0.000
Er  0.213  0.500  0.713
Er  0.500  0.213  0.713
Er  0.500  0.787  0.287
Er  0.787  0.500  0.287

- space group = I4/mmm (139)
- formation enthalpy at 0 K (eV per atom) = 0.350
- total magnetization (Bohr magnetons per cell) = 1.42

(11)
Compound: AcNdHg4
Source: Alexandria
Functional: PBE
Structure: optimized geometry

Unit cell a=3.677 b=5.143 c=8.792 alpha=90.00 beta=90.00 gamma=90.00
Atoms (fractional coordinates):
Ac  0.000  0.000  0.000
Nd  0.000  0.500  0.500
Hg  0.500  0.000  0.338
Hg  0.500  0.000  0.662
Hg  0.500  0.500  0.173
Hg  0.500  0.500  0.827

- space group = Pmmm (47)
- formation enthalpy at 0 K (eV per atom) = -0.437
- total magnetization (Bohr magnetons per cell) = 0.00

(12)
Compound: Tl2HgRuPb
Source: Alexandria
Functional: PBE
Structure: optimized geometry

Unit cell a=5.358 b=5.358 c=5.248 alpha=90.00 beta=90.00 gamma=90.00
Atoms (fractional coordinates):
Tl  0.000  0.500  0.000
Tl  0.500  0.000  0.000
Hg  0.000  0.000  0.500
Ru  0.500  0.500  0.000
Pb  0.500  0.500  0.500

- space group = P4/mmm (123)
- formation enthalpy at 0 K (eV per atom) = 0.153
- total magnetization (Bohr magnetons per cell) = 0.00

(13)
Compound: Y2CrRh
Source: Alexandria
Functional: PBE
Structure: optimized geometry

Unit cell a=3.297 b=4.513 c=5.924 alpha=90.00 beta=90.00 gamma=90.00
Atoms (fractional coordinates):
Y  0.000  0.000  0.000
Y  0.500  0.500  0.357
Cr  0.000  0.000  0.534
Rh  0.500  0.500  0.837

- space group = Pmm2 (25)
- formation enthalpy at 0 K (eV per atom) = 0.067
- total magnetization (Bohr magnetons per cell) = 3.52

(14)
Compound: Tb2Sm5Er
Source: Alexandria
Functional: PBE
Structure: optimized geometry

Unit cell a=7.197 b=14.400 c=5.075 alpha=90.00 beta=90.00 gamma=90.00
Atoms (fractional coordinates):
Tb  0.250  0.124  0.000
Tb  0.250  0.624  0.000
Tb  0.750  0.376  0.000
Tb  0.750  0.876  0.000
Sm  0.000  0.000  0.500
Sm  0.001  0.749  0.500
Sm  0.249  0.376  0.000
Sm  0.251  0.876  0.000
Sm  0.499  0.249  0.500
Sm  0.500  0.500  0.500
Sm  0.501  0.751  0.500
Sm  0.749  0.124  0.000
Sm  0.751  0.624  0.000
Sm  0.999  0.251  0.500
Er  0.000  0.500  0.500
Er  0.500  0.000  0.500

- space group = Pbam (55)
- formation enthalpy at 0 K (eV per atom) = 0.016
- total magnetization (Bohr magnetons per cell) = 0.00

(15)
Compound: AcNdTmTh
Source: Alexandria
Functional: PBE
Structure: optimized geometry

Unit cell a=5.843 b=5.843 c=5.843 alpha=60.00 beta=60.00 gamma=60.00
Atoms (fractional coordinates):
Ac  0.000  0.000  0.000
Nd  0.750  0.750  0.750
Tm  0.250  0.250  0.250
Th  0.500  0.500  0.500

- space group = F-43m (216)
- formation enthalpy at 0 K (eV per atom) = 0.169
- total magnetization (Bohr magnetons per cell) = 0.00

(16)
Compound: PPd12
Source: Alexandria
Functional: PBE
Structure: optimized geometry

Unit cell a=6.393 b=6.393 c=6.393 alpha=109.47 beta=109.47 gamma=109.47
Atoms (fractional coordinates):
P  0.000  0.000  0.000
Pd  0.127  0.819  0.308
Pd  0.181  0.308  0.490
Pd  0.181  0.692  0.873
Pd  0.308  0.127  0.819
Pd  0.308  0.490  0.181
Pd  0.490  0.181  0.308
Pd  0.510  0.819  0.692
Pd  0.692  0.510  0.819
Pd  0.692  0.873  0.181
Pd  0.819  0.308  0.127
Pd  0.819  0.692  0.510
Pd  0.873  0.181  0.692

- space group = Im-3 (204)
- formation enthalpy at 0 K (eV per atom) = 0.012
- total magnetization (Bohr magnetons per cell) = 0.00

(17)
Compound: V2CrCl6
Source: Alexandria
Functional: PBE
Structure: optimized geometry

Unit cell a=8.515 b=8.515 c=6.324 alpha=106.20 beta=106.20 gamma=78.04
Atoms (fractional coordinates):
V  0.158  0.316  0.495
V  0.316  0.158  0.995
V  0.684  0.842  0.005
V  0.842  0.684  0.505
Cr  0.401  0.599  0.750
Cr  0.599  0.401  0.250
Cl  0.059  0.206  0.731
Cl  0.115  0.601  0.742
Cl  0.206  0.059  0.231
Cl  0.298  0.438  0.268
Cl  0.399  0.885  0.758
Cl  0.438  0.298  0.768
Cl  0.562  0.702  0.232
Cl  0.601  0.115  0.242
Cl  0.702  0.562  0.732
Cl  0.794  0.941  0.769
Cl  0.885  0.399  0.258
Cl  0.941  0.794  0.269

- formation energy (no corrections) (eV per atom) = -0.986
- space group = C2/c (15)
- total magnetization (Bohr magnetons per cell) = 20.00

(18)
Compound: K3TlHg
Source: Alexandria
Functional: PBE
Structure: optimized geometry

Unit cell a=6.529 b=6.529 c=6.529 alpha=90.00 beta=90.00 gamma=90.00
Atoms (fractional coordinates):
K  0.000  0.000  0.500
K  0.000  0.500  0.000
K  0.500  0.000  0.000
Tl  0.500  0.500  0.500
Hg  0.000  0.000  0.000

- space group = Pm-3m (221)
- formation enthalpy at 0 K (eV per atom) = 0.056
- total magnetization (Bohr magnetons per cell) = 0.00

(19)
Compound: KVPS2
Source: Alexandria
Functional: PBE
Structure: optimized geometry

Unit cell a=4.693 b=4.693 c=4.663 alpha=90.00 beta=90.00 gamma=90.00
Atoms (fractional coordinates):
K  0.000  0.000  0.000
V  0.500  0.500  0.500
P  0.500  0.500  0.000
S  0.000  0.500  0.500
S  0.500  0.000  0.500

- formation energy (no corrections) (eV per atom) = -0.442
- space group = P4/mmm (123)
- total magnetization (Bohr magnetons per cell) = 0.00

(20)
Compound: AlAgCl2
Source: Alexandria
Functional: PBE
Structure: optimized geometry

Unit cell a=5.757 b=5.757 c=5.757 alpha=147.62 beta=116.28 gamma=73.30
Atoms (fractional coordinates):
Al  0.000  0.000  0.000
Ag  0.777  0.277  0.500
Cl  0.186  0.686  0.500
Cl  0.535  0.535  0.000

- formation energy (no corrections) (eV per atom) = -0.497
- space group = Imm2 (44)
- total magnetization (Bohr magnetons per cell) = 0.00

(21)
Compound: FeTeAs2
Source: Alexandria
Functional: PBE
Structure: optimized geometry

Unit cell a=6.909 b=6.909 c=6.909 alpha=129.07 beta=129.07 gamma=74.89
Atoms (fractional coordinates):
Fe  0.000  0.000  0.000
Fe  0.750  0.250  0.500
Te  0.250  0.750  0.500
Te  0.500  0.500  0.000
As  0.033  0.625  0.908
As  0.375  0.283  0.408
As  0.717  0.125  0.092
As  0.875  0.967  0.592

- formation energy (no corrections) (eV per atom) = 0.251
- space group = I-42d (122)
- total magnetization (Bohr magnetons per cell) = 0.00

(22)
Compound: Pm3Ho13
Source: Alexandria
Functional: PBE
Structure: optimized geometry

Unit cell a=7.258 b=8.429 c=8.429 alpha=83.90 beta=90.00 gamma=90.00
Atoms (fractional coordinates):
Pm  0.000  0.000  0.000
Pm  0.251  0.747  0.747
Pm  0.749  0.747  0.747
Ho  0.000  0.414  0.917
Ho  0.000  0.497  0.497
Ho  0.000  0.917  0.414
Ho  0.250  0.249  0.249
Ho  0.251  0.168  0.663
Ho  0.251  0.663  0.168
Ho  0.500  0.000  0.000
Ho  0.500  0.413  0.918
Ho  0.500  0.497  0.497
Ho  0.500  0.918  0.413
Ho  0.749  0.168  0.663
Ho  0.749  0.663  0.168
Ho  0.750  0.249  0.249

- space group = Amm2 (38)
- formation enthalpy at 0 K (eV per atom) = 0.012
- total magnetization (Bohr magnetons per cell) = 0.00

(23)
Compound: K2Zn3S4
Source: Alexandria
Functional: PBE
Structure: optimized geometry

Unit cell a=13.587 b=10.118 c=6.178 alpha=90.00 beta=90.00 gamma=90.00
Atoms (fractional coordinates):
K  0.000  0.000  0.000
K  0.000  0.500  0.000
K  0.036  0.250  0.479
K  0.464  0.750  0.979
K  0.500  0.000  0.500
K  0.500  0.500  0.500
K  0.536  0.250  0.021
K  0.964  0.750  0.521
Zn  0.210  0.750  0.255
Zn  0.244  0.098  0.182
Zn  0.244  0.402  0.182
Zn  0.256  0.598  0.682
Zn  0.256  0.902  0.682
Zn  0.290  0.250  0.755
Zn  0.710  0.750  0.245
Zn  0.744  0.098  0.318
Zn  0.744  0.402  0.318
Zn  0.756  0.598  0.818
Zn  0.756  0.902  0.818
Zn  0.790  0.250  0.745
S  0.142  0.250  0.963
S  0.147  0.541  0.397
S  0.147  0.959  0.397
S  0.164  0.750  0.893
S  0.336  0.250  0.393
S  0.353  0.041  0.897
S  0.353  0.459  0.897
S  0.358  0.750  0.463
S  0.642  0.250  0.537
S  0.647  0.541  0.103
S  0.647  0.959  0.103
S  0.664  0.750  0.607
S  0.836  0.250  0.107
S  0.853  0.041  0.603
S  0.853  0.459  0.603
S  0.858  0.750  0.037

- formation energy (no corrections) (eV per atom) = -0.954
- space group = Pnma (62)
- total magnetization (Bohr magnetons per cell) = 0.00